Here is crystalline TcIr2Se at its relaxed geometry from Alexandria. Energies are from PBE.

Geometry as CIF:
```
data_TcIr2Se
_symmetry_space_group_name_H-M 'P 1'
_symmetry_Int_Tables_number 1
_cell_length_a 2.7803
_cell_length_b 2.7803
_cell_length_c 9.4055
_cell_angle_alpha 90.00
_cell_angle_beta 90.00
_cell_angle_gamma 120.13
loop_
_symmetry_equiv_pos_as_xyz
'x,y,z'
loop_
_atom_site_label
_atom_site_fract_x
_atom_site_fract_y
_atom_site_fract_z
Tc1 0.0000 0.0000 0.0000
Ir1 0.5000 0.5000 0.2394
Ir2 0.5000 0.5000 0.7606
Se1 0.0000 0.0000 0.5000
```

Properties
size of the total moment = 0.445 μB/f.u.
raw formation energy = 486 meV per atom
SG = Cmmm, No. 65
total DFT energy (no corrections) = -7.407 eV per atom